(1)
Compound: SmAlRu
Source: Alexandria
Functional: PBE
Structure: optimized geometry

Results
The density of states at the Fermi level is 0.73 states/eV per atom. For the formation energy, the calculation gives -529 meV/atom.

abc: 7.4389 4.6098 7.0174
angles: 90.00 90.00 90.00
Element x y z (fractional)
Sm1 0.0281 0.2500 0.1898
Sm2 0.4719 0.7500 0.6898
Sm3 0.5281 0.2500 0.3102
Sm4 0.9719 0.7500 0.8102
Al1 0.1852 0.2500 0.6092
Al2 0.3148 0.7500 0.1092
Al3 0.6852 0.2500 0.8908
Al4 0.8148 0.7500 0.3908
Ru1 0.1560 0.7500 0.4373
Ru2 0.3440 0.2500 0.9373
Ru3 0.6560 0.7500 0.0627
Ru4 0.8440 0.2500 0.5627

(2)
Compound: SmAlRu
Source: Alexandria
Functional: PBE
Structure: optimized geometry

Results
The density of states at the Fermi level is 0.60 states/eV per atom. For the formation energy, the calculation gives -378 meV/atom.

abc: 4.3571 4.3571 3.8164
angles: 90.00 90.00 120.00
Element x y z (fractional)
Sm1 0.0000 0.0000 0.0000
Al1 0.3333 0.6667 0.5000
Ru1 0.6667 0.3333 0.5000

(3)
Compound: Sm8Al2Ru
Source: Alexandria
Functional: PBE
Structure: optimized geometry

Results
The density of states at the Fermi level is 0.89 states/eV per atom. For the formation energy, the calculation gives -186 meV/atom.

abc: 9.1684 9.1684 7.0170
angles: 110.40 110.40 34.32
Element x y z (fractional)
Sm1 0.0106 0.0106 0.2697
Sm2 0.1994 0.1994 0.7576
Sm3 0.3527 0.3527 0.5795
Sm4 0.3960 0.3960 0.0887
Sm5 0.6040 0.6040 0.9113
Sm6 0.6473 0.6473 0.4205
Sm7 0.8006 0.8006 0.2424
Sm8 0.9894 0.9894 0.7303
Al1 0.1817 0.1817 0.1895
Al2 0.8183 0.8183 0.8105
Ru1 0.5000 0.5000 0.5000

(4)
Compound: SmAl2Ru
Source: Alexandria
Functional: PBE
Structure: optimized geometry

Results
The density of states at the Fermi level is 0.68 states/eV per atom. For the formation energy, the calculation gives -493 meV/atom.

abc: 5.7570 5.7570 5.7570
angles: 43.35 43.35 43.35
Element x y z (fractional)
Sm1 0.0000 0.0000 0.0000
Al1 0.2058 0.2058 0.2058
Al2 0.7942 0.7942 0.7942
Ru1 0.5000 0.5000 0.5000

(5)
Compound: SmTmAlRu
Source: Alexandria
Functional: PBE
Structure: optimized geometry

Results
The density of states at the Fermi level is 0.66 states/eV per atom. For the formation energy, the calculation gives -317 meV/atom.

abc: 4.9754 4.9754 4.9754
angles: 60.00 60.00 60.00
Element x y z (fractional)
Sm1 0.0000 0.0000 0.0000
Tm1 0.5000 0.5000 0.5000
Al1 0.7500 0.7500 0.7500
Ru1 0.2500 0.2500 0.2500

(6)
Compound: Sm2UAl2Ru5
Source: Alexandria
Functional: PBE
Structure: optimized geometry

Results
The density of states at the Fermi level is 0.53 states/eV per atom. For the formation energy, the calculation gives -471 meV/atom.

abc: 10.2493 10.2493 3.3950
angles: 90.00 90.00 90.00
Element x y z (fractional)
Sm1 0.1698 0.3302 0.0000
Sm2 0.3302 0.8302 0.0000
Sm3 0.6698 0.1698 0.0000
Sm4 0.8302 0.6698 0.0000
U1 0.0000 0.0000 0.0000
U2 0.5000 0.5000 0.0000
Al1 0.1269 0.6269 0.0000
Al2 0.3731 0.1269 0.0000
Al3 0.6269 0.8731 0.0000
Al4 0.8731 0.3731 0.0000
Ru1 0.0000 0.5000 0.5000
Ru2 0.0669 0.8013 0.5000
Ru3 0.1987 0.0669 0.5000
Ru4 0.3013 0.5669 0.5000
Ru5 0.4331 0.3013 0.5000
Ru6 0.5000 0.0000 0.5000
Ru7 0.5669 0.6987 0.5000
Ru8 0.6987 0.4331 0.5000
Ru9 0.8013 0.9331 0.5000
Ru10 0.9331 0.1987 0.5000

(7)
Compound: Sm2Al2Ru5W
Source: Alexandria
Functional: PBE
Structure: optimized geometry

Results
The density of states at the Fermi level is 0.50 states/eV per atom. For the formation energy, the calculation gives -315 meV/atom.

abc: 10.2502 10.2502 3.2496
angles: 90.00 90.00 90.00
Element x y z (fractional)
Sm1 0.1722 0.3278 0.0000
Sm2 0.3278 0.8278 0.0000
Sm3 0.6722 0.1722 0.0000
Sm4 0.8278 0.6722 0.0000
Al1 0.1263 0.6263 0.0000
Al2 0.3737 0.1263 0.0000
Al3 0.6263 0.8737 0.0000
Al4 0.8737 0.3737 0.0000
Ru1 0.0000 0.5000 0.5000
Ru2 0.0637 0.8034 0.5000
Ru3 0.1966 0.0637 0.5000
Ru4 0.3034 0.5637 0.5000
Ru5 0.4363 0.3034 0.5000
Ru6 0.5000 0.0000 0.5000
Ru7 0.5637 0.6966 0.5000
Ru8 0.6966 0.4363 0.5000
Ru9 0.8034 0.9363 0.5000
Ru10 0.9363 0.1966 0.5000
W1 0.0000 0.0000 0.0000
W2 0.5000 0.5000 0.0000

(8)
Compound: Al3SnRu
Source: Alexandria
Functional: PBE
Structure: optimized geometry

Results
The density of states at the Fermi level is 0.84 states/eV per atom. For the formation energy, the calculation gives 61 meV/atom.

abc: 4.7523 4.7523 4.7523
angles: 90.00 90.00 90.00
Element x y z (fractional)
Al1 0.0000 0.0000 0.5000
Al2 0.0000 0.5000 0.0000
Al3 0.5000 0.0000 0.0000
Sn1 0.5000 0.5000 0.5000
Ru1 0.0000 0.0000 0.0000

(9)
Compound: Al2SnRu3
Source: Alexandria
Functional: PBE
Structure: optimized geometry

Results
The density of states at the Fermi level is 0.97 states/eV per atom. For the formation energy, the calculation gives -453 meV/atom.

abc: 3.0874 3.0874 9.2128
angles: 90.00 90.00 90.00
Element x y z (fractional)
Al1 0.0000 0.0000 0.1569
Al2 0.0000 0.0000 0.8431
Sn1 0.0000 0.0000 0.5000
Ru1 0.5000 0.5000 0.0000
Ru2 0.5000 0.5000 0.3215
Ru3 0.5000 0.5000 0.6785

(10)
Compound: AlSn3Ru
Source: Alexandria
Functional: PBE
Structure: optimized geometry

Results
The density of states at the Fermi level is 0.63 states/eV per atom. For the formation energy, the calculation gives 295 meV/atom.

abc: 5.1325 5.1325 5.1325
angles: 90.00 90.00 90.00
Element x y z (fractional)
Al1 0.0000 0.0000 0.0000
Sn1 0.0000 0.5000 0.5000
Sn2 0.5000 0.0000 0.5000
Sn3 0.5000 0.5000 0.0000
Ru1 0.5000 0.5000 0.5000

(11)
Compound: AlSnRu3
Source: Alexandria
Functional: PBE
Structure: optimized geometry

Results
The density of states at the Fermi level is 1.60 states/eV per atom. For the formation energy, the calculation gives 755 meV/atom.

abc: 4.4601 4.4601 4.4601
angles: 90.00 90.00 90.00
Element x y z (fractional)
Al1 0.0000 0.0000 0.0000
Sn1 0.5000 0.5000 0.5000
Ru1 0.0000 0.0000 0.5000
Ru2 0.0000 0.5000 0.0000
Ru3 0.5000 0.0000 0.0000

(12)
Compound: AlSn3Ru
Source: Alexandria
Functional: PBE
Structure: optimized geometry

Results
The density of states at the Fermi level is 1.12 states/eV per atom. For the formation energy, the calculation gives 1130 meV/atom.

abc: 5.1637 5.1637 5.1637
angles: 90.00 90.00 90.00
Element x y z (fractional)
Al1 0.0000 0.0000 0.0000
Sn1 0.0000 0.0000 0.5000
Sn2 0.0000 0.5000 0.0000
Sn3 0.5000 0.0000 0.0000
Ru1 0.5000 0.5000 0.5000

(13)
Compound: AlSnRu3
Source: Alexandria
Functional: PBE
Structure: optimized geometry

Results
The density of states at the Fermi level is 0.77 states/eV per atom. For the formation energy, the calculation gives 1646 meV/atom.

abc: 4.8062 4.8062 4.8062
angles: 90.00 90.00 90.00
Element x y z (fractional)
Al1 0.0000 0.0000 0.0000
Sn1 0.5000 0.5000 0.5000
Ru1 0.0000 0.5000 0.5000
Ru2 0.5000 0.0000 0.5000
Ru3 0.5000 0.5000 0.0000

(14)
Compound: Sr2AlSnRu
Source: Alexandria
Functional: PBE
Structure: optimized geometry

Results
The density of states at the Fermi level is 1.26 states/eV per atom. For the formation energy, the calculation gives 945 meV/atom.

abc: 5.8836 5.8836 4.8640
angles: 90.00 90.00 90.00
Element x y z (fractional)
Sr1 0.0000 0.5000 0.0000
Sr2 0.5000 0.0000 0.0000
Al1 0.0000 0.0000 0.5000
Sn1 0.0000 0.0000 0.0000
Ru1 0.5000 0.5000 0.5000

(15)
Compound: Tb2Al2SnRu5
Source: Alexandria
Functional: PBE
Structure: optimized geometry

Results
The density of states at the Fermi level is 1.27 states/eV per atom. For the formation energy, the calculation gives -380 meV/atom.

abc: 10.1012 10.1012 3.3901
angles: 90.00 90.00 90.00
Element x y z (fractional)
Tb1 0.1732 0.3268 0.0000
Tb2 0.3268 0.8268 0.0000
Tb3 0.6732 0.1732 0.0000
Tb4 0.8268 0.6732 0.0000
Al1 0.1252 0.6252 0.0000
Al2 0.3748 0.1252 0.0000
Al3 0.6252 0.8748 0.0000
Al4 0.8748 0.3748 0.0000
Sn1 0.0000 0.0000 0.0000
Sn2 0.5000 0.5000 0.0000
Ru1 0.0000 0.5000 0.5000
Ru2 0.0660 0.7946 0.5000
Ru3 0.2054 0.0660 0.5000
Ru4 0.2946 0.5660 0.5000
Ru5 0.4340 0.2946 0.5000
Ru6 0.5000 0.0000 0.5000
Ru7 0.5660 0.7054 0.5000
Ru8 0.7054 0.4340 0.5000
Ru9 0.7946 0.9340 0.5000
Ru10 0.9340 0.2054 0.5000

(16)
Compound: Th2AlSn2Ru5
Source: Alexandria
Functional: PBE
Structure: optimized geometry

Results
The density of states at the Fermi level is 0.61 states/eV per atom. For the formation energy, the calculation gives -191 meV/atom.

abc: 10.6158 10.6158 3.4090
angles: 90.00 90.00 90.00
Element x y z (fractional)
Th1 0.1679 0.3321 0.0000
Th2 0.3321 0.8321 0.0000
Th3 0.6679 0.1679 0.0000
Th4 0.8321 0.6679 0.0000
Al1 0.0000 0.0000 0.0000
Al2 0.5000 0.5000 0.0000
Sn1 0.1344 0.6344 0.0000
Sn2 0.3656 0.1344 0.0000
Sn3 0.6344 0.8656 0.0000
Sn4 0.8656 0.3656 0.0000
Ru1 0.0000 0.5000 0.5000
Ru2 0.0263 0.8009 0.5000
Ru3 0.1991 0.0263 0.5000
Ru4 0.3009 0.5263 0.5000
Ru5 0.4737 0.3009 0.5000
Ru6 0.5000 0.0000 0.5000
Ru7 0.5263 0.6991 0.5000
Ru8 0.6991 0.4737 0.5000
Ru9 0.8009 0.9737 0.5000
Ru10 0.9737 0.1991 0.5000

(17)
Compound: Sr3AlRu
Source: Alexandria
Functional: PBE
Structure: optimized geometry

Results
The density of states at the Fermi level is 2.73 states/eV per atom. For the formation energy, the calculation gives 402 meV/atom.

abc: 5.6762 5.6762 5.6762
angles: 90.00 90.00 90.00
Element x y z (fractional)
Sr1 0.0000 0.0000 0.5000
Sr2 0.0000 0.5000 0.0000
Sr3 0.5000 0.0000 0.0000
Al1 0.5000 0.5000 0.5000
Ru1 0.0000 0.0000 0.0000

(18)
Compound: Sr2AlRu
Source: Alexandria
Functional: PBE
Structure: optimized geometry

Results
The density of states at the Fermi level is 1.06 states/eV per atom. For the formation energy, the calculation gives 149 meV/atom.

abc: 8.2084 8.2084 8.2084
angles: 94.84 94.84 146.22
Element x y z (fractional)
Sr1 0.3750 0.0513 0.1763
Sr2 0.8013 0.6250 0.6763
Sr3 0.8750 0.1987 0.8237
Sr4 0.9487 0.1250 0.3237
Al1 0.2500 0.7500 0.5000
Al2 0.5000 0.5000 0.0000
Ru1 0.0000 0.0000 0.0000
Ru2 0.7500 0.2500 0.5000

(19)
Compound: SrAlRu2
Source: Alexandria
Functional: PBE
Structure: optimized geometry

Results
The density of states at the Fermi level is 1.05 states/eV per atom. For the formation energy, the calculation gives 307 meV/atom.

abc: 5.7951 5.7951 5.7951
angles: 149.81 130.56 59.02
Element x y z (fractional)
Sr1 0.0000 0.0000 0.0000
Al1 0.2903 0.7903 0.5000
Ru1 0.5088 0.5088 0.0000
Ru2 0.7233 0.2233 0.5000

(20)
Compound: SrAlRu2
Source: Alexandria
Functional: PBE
Structure: optimized geometry

Results
The density of states at the Fermi level is 1.16 states/eV per atom. For the formation energy, the calculation gives 173 meV/atom.

abc: 4.6146 4.6146 6.0330
angles: 101.87 101.87 38.98
Element x y z (fractional)
Sr1 0.0000 0.0000 0.0000
Al1 0.5000 0.5000 0.5000
Ru1 0.2253 0.2253 0.6615
Ru2 0.7747 0.7747 0.3385

(21)
Compound: SrAl10Ru2
Source: Alexandria
Functional: PBE
Structure: optimized geometry

Results
The density of states at the Fermi level is 0.40 states/eV per atom. For the formation energy, the calculation gives -438 meV/atom.

abc: 6.9144 6.9144 9.2522
angles: 90.00 90.00 96.82
Element x y z (fractional)
Sr1 0.1209 0.8791 0.7500
Sr2 0.8791 0.1209 0.2500
Al1 0.1379 0.4105 0.7500
Al2 0.1618 0.8382 0.1010
Al3 0.1618 0.8382 0.3990
Al4 0.2217 0.4779 0.2500
Al5 0.2274 0.2274 0.0000
Al6 0.2274 0.2274 0.5000
Al7 0.3775 0.6225 0.5472
Al8 0.3775 0.6225 0.9528
Al9 0.4105 0.1379 0.2500
Al10 0.4779 0.2217 0.7500
Al11 0.5221 0.7783 0.2500
Al12 0.5895 0.8621 0.7500
Al13 0.6225 0.3775 0.0472
Al14 0.6225 0.3775 0.4528
Al15 0.7726 0.7726 0.0000
Al16 0.7726 0.7726 0.5000
Al17 0.7783 0.5221 0.7500
Al18 0.8382 0.1618 0.6010
Al19 0.8382 0.1618 0.8990
Al20 0.8621 0.5895 0.2500
Ru1 0.0000 0.5000 0.0000
Ru2 0.0000 0.5000 0.5000
Ru3 0.5000 0.0000 0.0000
Ru4 0.5000 0.0000 0.5000

(22)
Compound: SrAlRu2
Source: Alexandria
Functional: PBE
Structure: optimized geometry

Results
The density of states at the Fermi level is 0.92 states/eV per atom. For the formation energy, the calculation gives 131 meV/atom.

abc: 3.2845 3.2845 6.9659
angles: 90.00 90.00 90.00
Element x y z (fractional)
Sr1 0.0000 0.0000 0.0000
Al1 0.0000 0.0000 0.5000
Ru1 0.5000 0.5000 0.3193
Ru2 0.5000 0.5000 0.6807

(23)
Compound: SrAlRu2
Source: Alexandria
Functional: PBE
Structure: optimized geometry

Results
The density of states at the Fermi level is 1.67 states/eV per atom. For the formation energy, the calculation gives 450 meV/atom.

abc: 4.5969 4.5969 3.3621
angles: 90.00 90.00 90.00
Element x y z (fractional)
Sr1 0.0000 0.0000 0.0000
Al1 0.5000 0.5000 0.0000
Ru1 0.0000 0.5000 0.5000
Ru2 0.5000 0.0000 0.5000

(24)
Compound: SrAlRu2
Source: Alexandria
Functional: PBE
Structure: optimized geometry

Results
The density of states at the Fermi level is 0.68 states/eV per atom. For the formation energy, the calculation gives 371 meV/atom.

abc: 5.4227 5.4227 5.4227
angles: 146.78 121.74 68.74
Element x y z (fractional)
Sr1 0.0000 0.0000 0.0000
Al1 0.5000 0.5000 0.0000
Ru1 0.2822 0.7822 0.5000
Ru2 0.7178 0.2178 0.5000